No. 1
DFT (PBEsol) results for SrFe2Ir after structural relaxation.

Lattice parameters (Å, degrees): 5.5242 5.5242 5.5242 150.47 128.30 60.67
Atoms (fractional coordinates):
Sr 0.0000 0.0000 0.0000
Fe 0.2880 0.7880 0.5000
Fe 0.4907 0.4907 0.0000
Ir 0.7107 0.2107 0.5000

Summary:
**Uncorrected energy**: -6.791 eV/atom

No. 2
DFT (PBEsol) results for SrFe2Ir after structural relaxation.

Lattice parameters (Å, degrees): 4.5029 4.5029 4.5029 60.00 60.00 60.00
Atoms (fractional coordinates):
Sr 0.0000 0.0000 0.0000
Fe 0.2500 0.2500 0.2500
Fe 0.7500 0.7500 0.7500
Ir 0.5000 0.5000 0.5000

Summary:
**Uncorrected energy**: -6.759 eV/atom

No. 3
DFT (PBEsol) results for SrFeIr2 after structural relaxation.

Lattice parameters (Å, degrees): 9.7193 9.7193 9.7193 16.53 16.53 16.53
Atoms (fractional coordinates):
Sr 0.0000 0.0000 0.0000
Fe 0.7628 0.7628 0.7628
Ir 0.2412 0.2412 0.2412
Ir 0.4979 0.4979 0.4979

Summary:
**Distance to the lowest polymorph of the same formula**: 0.050 eV per atom
**Uncorrected energy**: -6.902 eV/atom

no.,total moment (μB/cell)
1,4.932
2,6.046
3,2.365